Entry from the Alexandria database: an optimized crystal structure of CsVIN2 (PBE).

Cell: 4.399 4.399 6.825 Å, 90.00 90.00 90.00°
Site moments in Bohr magnetons follow the coordinates.
Fractional positions:
1 N 0.500 0.000 0.000  0.01
2 V 0.500 0.500 0.500  -0.26
3 Cs 0.000 0.000 0.000  0.00
4 N 0.000 0.500 0.000  0.01
5 I 0.000 0.000 0.500  0.01

energy above the most stable polymorph in this dataset: 1.9741 eV/atom
total energy: -3.0304 eV per atom
total moment: 0.27 μB per formula unit



Entry from the Alexandria database: an optimized crystal structure of DyAlZn4 (PBE).

Cell: 5.327 5.327 5.327 Å, 60.00 60.00 60.00°
Fractional positions:
1 Zn 0.625 0.125 0.625
2 Zn 0.125 0.625 0.625
3 Zn 0.625 0.625 0.125
4 Dy 0.250 0.250 0.250
5 Zn 0.625 0.625 0.625
6 Al 0.000 0.000 0.000

energy above the most stable polymorph in this dataset: 0.0000 eV/atom
total energy: -2.3668 eV per atom
energy of formation: -0.13 eV/atom
total moment: 0.00 μB per formula unit



Entry from the Alexandria database: an optimized crystal structure of RbCaAg2Br (PBE).

Cell: 5.937 5.978 5.937 Å, 90.00 90.00 90.00°
Fractional positions:
1 Ca 0.500 0.500 0.500
2 Ag 0.000 0.000 0.500
3 Ag 0.500 0.000 0.000
4 Rb 0.000 0.000 0.000
5 Br 0.000 0.500 0.000

total energy: -1.8343 eV per atom
total moment: 0.00 μB per formula unit



Entry from the Alexandria database: an optimized crystal structure of CeRe5Si6 (PBE).

Cell: 7.279 5.317 6.374 Å, 65.35 76.66 56.42°
Fractional positions:
1 Ce 0.000 0.000 0.000
2 Si 0.301 0.397 0.376
3 Re 0.500 0.128 0.743
4 Si 0.699 0.603 0.624
5 Si 0.204 0.368 0.000
6 Re 0.500 0.872 0.257
7 Re 0.000 0.309 0.381
8 Si 0.301 0.773 0.624
9 Re 0.000 0.691 0.619
10 Re 0.500 0.500 0.000
11 Si 0.796 0.632 0.000
12 Si 0.699 0.227 0.376

total energy: -8.5044 eV per atom
total moment: 0.00 μB per formula unit



- Which of these has the highest total energy?
  RbCaAg2Br



- Among the records above, which one has the highest total moment?
  CsVIN2



- What is the formula in the fourth record?
  CeRe5Si6



- Look up the total energy of the second one.
  -2.3668 eV per atom